1.
Entry from Alexandria via LeMat-Bulk: a relaxed structure of Sc4OsPb (PBE-GGA).

Energy of formation, eV/f.u.: -2.35
Distance to the lowest polymorph of the same formula, meV/atom: 0

Geometry as CIF:
```
data_Sc4OsPb
_cell_length_a 8.450
_cell_length_b 12.665
_cell_length_c 5.780
_cell_angle_alpha 90.00
_cell_angle_beta 112.50
_cell_angle_gamma 90.00
_space_group_name_H-M_alt 'C 1 2/c 1'
_space_group_IT_number 15
_space_group_name_Hall '-C 2yc'
loop_
_atom_site_label
_atom_site_fract_x
_atom_site_fract_y
_atom_site_fract_z
_atom_site_occupancy
Sc1 0.110 0.166 0.062 1
Sc2 0.226 0.428 0.351 1
Os1 0.000 0.001 0.250 1
Pb1 0.000 0.370 0.750 1
```

=====

2.
Entry from Alexandria via LeMat-Bulk: a relaxed structure of PuUSbO2 (PBE-GGA).

Formation energy from raw total energies, kcal/mol of atoms: -52.35

Geometry as CIF:
```
data_PuUSbO2
_cell_length_a 3.914
_cell_length_b 3.914
_cell_length_c 12.390
_cell_angle_alpha 90.00
_cell_angle_beta 90.00
_cell_angle_gamma 90.00
_space_group_name_H-M_alt 'I 4 m m'
_space_group_IT_number 107
_space_group_name_Hall 'I 4 -2'
loop_
_atom_site_label
_atom_site_fract_x
_atom_site_fract_y
_atom_site_fract_z
_atom_site_occupancy
Pu1 0.000 0.000 0.000 1
U1 0.000 0.000 0.697 1
Sb1 0.000 0.000 0.349 1
O1 0.000 0.500 0.107 1
```

=====

3.
Entry from Alexandria via LeMat-Bulk: a relaxed structure of NaHgW2C (PBE-GGA).

Energy of formation, eV/f.u.: 16.75

Geometry as CIF:
```
data_NaHgW2C
_cell_length_a 4.779
_cell_length_b 4.779
_cell_length_c 3.954
_cell_angle_alpha 90.00
_cell_angle_beta 90.00
_cell_angle_gamma 90.00
_space_group_name_H-M_alt 'P 4/m m m'
_space_group_IT_number 123
_space_group_name_Hall '-P 4 2'
loop_
_atom_site_label
_atom_site_fract_x
_atom_site_fract_y
_atom_site_fract_z
_atom_site_occupancy
Na1 0.000 0.000 0.000 1
Hg1 0.500 0.500 0.500 1
W1 0.000 0.500 0.000 1
C1 0.000 0.000 0.500 1
```

=====

4.
Entry from Alexandria via LeMat-Bulk: a relaxed structure of MnAl2Pt (PBE-GGA).

Energy of formation, eV/f.u.: -2.40

Geometry as CIF:
```
data_MnAl2Pt
_cell_length_a 3.761
_cell_length_b 3.761
_cell_length_c 8.119
_cell_angle_alpha 90.00
_cell_angle_beta 90.00
_cell_angle_gamma 90.00
_space_group_name_H-M_alt 'I -4 m 2'
_space_group_IT_number 119
_space_group_name_Hall 'I -4 -2'
loop_
_atom_site_label
_atom_site_fract_x
_atom_site_fract_y
_atom_site_fract_z
_atom_site_occupancy
Mn1 0.000 0.000 0.000 1
Al1 0.000 0.000 0.500 1
Al2 0.000 0.500 0.250 1
Pt1 0.000 0.500 0.750 1
```

=====

5.
Entry from Alexandria via LeMat-Bulk: a relaxed structure of Er4Sc (PBE-GGA).

Energy of formation, eV/f.u.: 0.21
Distance to the lowest polymorph of the same formula, meV/atom: 0

Geometry as CIF:
```
data_Er4Sc
_cell_length_a 6.001
_cell_length_b 3.470
_cell_length_c 14.165
_cell_angle_alpha 90.00
_cell_angle_beta 98.01
_cell_angle_gamma 90.00
_space_group_name_H-M_alt 'C 1 2/m 1'
_space_group_IT_number 12
_space_group_name_Hall '-C 2y'
loop_
_atom_site_label
_atom_site_fract_x
_atom_site_fract_y
_atom_site_fract_z
_atom_site_occupancy
Er1 0.102 0.000 0.307 1
Er2 0.201 0.500 0.102 1
Sc1 0.000 0.500 0.500 1
```

=====

6.
Entry from Alexandria via LeMat-Bulk: a relaxed structure of HCl (PBE-GGA).

Final energy, eV per atom: -2.29

Geometry as CIF:
```
data_HCl
_cell_length_a 5.676
_cell_length_b 5.676
_cell_length_c 5.676
_cell_angle_alpha 90.00
_cell_angle_beta 90.00
_cell_angle_gamma 90.00
_space_group_name_H-M_alt 'P m -3 n'
_space_group_IT_number 223
_space_group_name_Hall '-P 4n 2 3'
loop_
_atom_site_label
_atom_site_fract_x
_atom_site_fract_y
_atom_site_fract_z
_atom_site_occupancy
H1 0.000 0.250 0.500 1
Cl1 0.000 0.500 0.250 1
```

=====

7.
Entry from Alexandria via LeMat-Bulk: a relaxed structure of Dy4SbS3 (PBE-GGA).

Formation energy from raw total energies, kcal/mol of atoms: -39.89

Geometry as CIF:
```
data_Dy4SbS3
_cell_length_a 8.108
_cell_length_b 11.411
_cell_length_c 4.022
_cell_angle_alpha 90.00
_cell_angle_beta 90.00
_cell_angle_gamma 90.00
_space_group_name_H-M_alt 'C m m m'
_space_group_IT_number 65
_space_group_name_Hall '-C 2 2'
loop_
_atom_site_label
_atom_site_fract_x
_atom_site_fract_y
_atom_site_fract_z
_atom_site_occupancy
Dy1 0.000 0.239 0.000 1
Dy2 0.227 0.000 0.500 1
Sb1 0.000 0.500 0.000 1
S1 0.000 0.000 0.000 1
S2 0.250 0.250 0.500 1
```

=====

8.
Entry from Alexandria via LeMat-Bulk: a relaxed structure of CaHoTe2 (PBE-GGA).

Formation energy from raw total energies, kcal/mol of atoms: -33.13
Distance to the lowest polymorph of the same formula, meV/atom: 0

Geometry as CIF:
```
data_CaHoTe2
_cell_length_a 4.3805
_cell_length_b 4.3805
_cell_length_c 21.9444
_cell_angle_alpha 90.00
_cell_angle_beta 90.00
_cell_angle_gamma 120.00
_space_group_name_H-M_alt 'R -3 m'
_space_group_IT_number 166
_space_group_name_Hall '-R 3 2"'
loop_
_atom_site_label
_atom_site_fract_x
_atom_site_fract_y
_atom_site_fract_z
_atom_site_occupancy
Ca1 0.0000 0.0000 0.0000 1
Ho1 0.0000 0.0000 0.5000 1
Te1 0.0000 0.0000 0.2478 1
```

=====

9.
Entry from Alexandria via LeMat-Bulk: a relaxed structure of TlCuCl3 (PBE-GGA).

Formation energy from raw total energies, kcal/mol of atoms: -0.50

Geometry as CIF:
```
data_TlCuCl3
_cell_length_a 5.390
_cell_length_b 5.390
_cell_length_c 5.390
_cell_angle_alpha 90.00
_cell_angle_beta 90.00
_cell_angle_gamma 90.00
_space_group_name_H-M_alt 'P m -3 m'
_space_group_IT_number 221
_space_group_name_Hall '-P 4 2 3'
loop_
_atom_site_label
_atom_site_fract_x
_atom_site_fract_y
_atom_site_fract_z
_atom_site_occupancy
Tl1 0.000 0.000 0.000 1
Cu1 0.500 0.500 0.500 1
Cl1 0.000 0.000 0.500 1
```

=====

10.
Entry from Alexandria via LeMat-Bulk: a relaxed structure of TcRh2Se (PBE-GGA).

Formation energy from raw total energies, kcal/mol of atoms: 2.53

Geometry as CIF:
```
data_TcRh2Se
_cell_length_a 2.863
_cell_length_b 3.801
_cell_length_c 5.519
_cell_angle_alpha 90.00
_cell_angle_beta 90.00
_cell_angle_gamma 90.00
_space_group_name_H-M_alt 'P m m m'
_space_group_IT_number 47
_space_group_name_Hall '-P 2 2'
loop_
_atom_site_label
_atom_site_fract_x
_atom_site_fract_y
_atom_site_fract_z
_atom_site_occupancy
Tc1 0.000 0.000 0.000 1
Rh1 0.500 0.500 0.236 1
Se1 0.000 0.000 0.500 1
```

=====

11.
Entry from Alexandria via LeMat-Bulk: a relaxed structure of Th3SbOsN (PBE-GGA).

Formation energy from raw total energies, kcal/mol of atoms: -20.79

Geometry as CIF:
```
data_Th3SbOsN
_cell_length_a 8.959
_cell_length_b 4.184
_cell_length_c 9.321
_cell_angle_alpha 90.00
_cell_angle_beta 103.68
_cell_angle_gamma 90.00
_space_group_name_H-M_alt 'P 1 21/m 1'
_space_group_IT_number 11
_space_group_name_Hall '-P 2yb'
loop_
_atom_site_label
_atom_site_fract_x
_atom_site_fract_y
_atom_site_fract_z
_atom_site_occupancy
Th1 0.060 0.250 0.344 1
Th2 0.327 0.250 0.974 1
Th3 0.368 0.750 0.650 1
Sb1 0.326 0.750 0.269 1
Os1 0.154 0.250 0.654 1
N1 0.417 0.750 0.906 1
```